No. 1
VASP calculation (PBE) on a relaxed structure of RbNpSnCl6.

```
data_RbNpSnCl6
_space_group_name_H-M_alt 'I m m a'
_space_group_IT_number 74
_space_group_name_Hall '-I 2b 2'
_cell_length_a 9.9242
_cell_length_b 10.3636
_cell_length_c 14.5054
_cell_angle_alpha 90.00
_cell_angle_beta 90.00
_cell_angle_gamma 90.00
loop_
_atom_site_label
_atom_site_fract_x
_atom_site_fract_y
_atom_site_fract_z
_atom_site_occupancy
Rb1 0.0000 0.2500 0.0623 1
Np1 0.0000 0.0000 0.5000 1
Sn1 0.2500 0.2500 0.7500 1
Cl1 0.0000 0.2500 0.4386 1
Cl2 0.0000 0.2500 0.8404 1
Cl3 0.2040 0.0417 0.6218 1
```

Computed properties:
- Formation energy without anion corrections: -1.484 eV/atom
- Energy: -0.173 Ha/atom

=====

No. 2
VASP calculation (PBE) on a relaxed structure of Rb2SrNpCl8.

```
data_Rb2SrNpCl8
_space_group_name_H-M_alt 'P 1 2/m 1'
_space_group_IT_number 10
_cell_length_a 7.1609
_cell_length_b 8.9645
_cell_length_c 7.2860
_cell_angle_alpha 90.00
_cell_angle_beta 92.27
_cell_angle_gamma 90.00
loop_
_space_group_symop_operation_xyz
'x,y,z'
'-x,-y,-z'
'-x,y,-z'
'x,-y,z'
loop_
_atom_site_label
_atom_site_fract_x
_atom_site_fract_y
_atom_site_fract_z
_atom_site_occupancy
Rb1 0.0000 0.2480 0.0000 1
Sr1 0.5000 0.0000 0.5000 1
Np1 0.5000 0.5000 0.5000 1
Cl1 0.2435 0.0000 0.2027 1
Cl2 0.2762 0.5000 0.2123 1
Cl3 0.3056 0.2810 0.6440 1
```

Computed properties:
- Formation energy without anion corrections: -1.948 eV/atom
- Energy: -0.168 Ha/atom

=====

No. 3
VASP calculation (PBE) on a relaxed structure of Rb2NpTlCl8.

```
data_Rb2NpTlCl8
_space_group_name_H-M_alt 'P 1 2/m 1'
_space_group_IT_number 10
_cell_length_a 7.0117
_cell_length_b 9.8779
_cell_length_c 7.0501
_cell_angle_alpha 90.00
_cell_angle_beta 93.74
_cell_angle_gamma 90.00
loop_
_space_group_symop_operation_xyz
'x,y,z'
'-x,-y,-z'
'-x,y,-z'
'x,-y,z'
loop_
_atom_site_label
_atom_site_fract_x
_atom_site_fract_y
_atom_site_fract_z
_atom_site_occupancy
Rb1 0.0000 0.2496 0.0000 1
Np1 0.5000 0.0000 0.5000 1
Tl1 0.5000 0.5000 0.5000 1
Cl1 0.2193 0.5000 0.1861 1
Cl2 0.2903 0.1862 0.6269 1
Cl3 0.2927 0.0000 0.1865 1
```

Computed properties:
- Formation energy without anion corrections: -1.535 eV/atom
- Energy: -0.154 Ha/atom

=====

No. 4
VASP calculation (PBE) on a relaxed structure of RbNpTlCl6.

```
data_RbNpTlCl6
_space_group_name_H-M_alt 'P -3 1 c'
_space_group_IT_number 163
_space_group_name_Hall '-P 3 2c'
_cell_length_a 7.9571
_cell_length_b 7.9571
_cell_length_c 12.2541
_cell_angle_alpha 90.00
_cell_angle_beta 90.00
_cell_angle_gamma 120.00
loop_
_atom_site_label
_atom_site_fract_x
_atom_site_fract_y
_atom_site_fract_z
_atom_site_occupancy
Rb1 0.3333 0.6667 0.2500 1
Np1 0.3333 0.6667 0.7500 1
Tl1 0.0000 0.0000 0.0000 1
Cl1 0.0657 0.3927 0.6281 1
```

Computed properties:
- Formation energy without anion corrections: -1.623 eV/atom
- Energy: -0.171 Ha/atom

=====

No. 5
VASP calculation (PBE) on a relaxed structure of RbNpTl2Cl6.

```
data_RbNpTl2Cl6
_space_group_name_H-M_alt 'R 3'
_space_group_IT_number 146
_space_group_name_Hall 'R 3'
_cell_length_a 7.9293
_cell_length_b 7.9293
_cell_length_c 20.6021
_cell_angle_alpha 90.00
_cell_angle_beta 90.00
_cell_angle_gamma 120.00
loop_
_atom_site_label
_atom_site_fract_x
_atom_site_fract_y
_atom_site_fract_z
_atom_site_occupancy
Rb1 0.0000 0.0000 0.0000 1
Np1 0.0000 0.0000 0.5096 1
Tl1 0.0000 0.0000 0.2080 1
Tl2 0.0000 0.0000 0.7151 1
Cl1 0.0079 0.7375 0.5961 1
Cl2 0.0658 0.3532 0.1060 1
```

Computed properties:
- Formation energy without anion corrections: -1.512 eV/atom
- Energy: -0.165 Ha/atom

=====

No. 6
VASP calculation (PBE) on a relaxed structure of Rb2NpTlCl6.

```
data_Rb2NpTlCl6
_space_group_name_H-M_alt 'P 1 21/c 1'
_space_group_IT_number 14
_cell_length_a 7.7865
_cell_length_b 8.2781
_cell_length_c 13.5522
_cell_angle_alpha 90.00
_cell_angle_beta 124.50
_cell_angle_gamma 90.00
loop_
_space_group_symop_operation_xyz
'x,y,z'
'-x,-y,-z'
'-x,y+1/2,-z+1/2'
'x,-y+1/2,z+1/2'
loop_
_atom_site_label
_atom_site_fract_x
_atom_site_fract_y
_atom_site_fract_z
_atom_site_occupancy
Rb1 0.2237 0.0712 0.2497 1
Np1 0.5000 0.0000 0.0000 1
Tl1 0.0000 0.0000 0.5000 1
Cl1 0.1603 0.1815 0.9418 1
Cl2 0.2644 0.7230 0.9343 1
Cl3 0.3916 0.0507 0.7713 1
```

Computed properties:
- Formation energy without anion corrections: -1.714 eV/atom
- Energy: -0.167 Ha/atom